1.
Entry from the Alexandria database: an optimized crystal structure of AcTb2PmTm (PBE).

a = 6.470 Å, b = 6.471 Å, c = 9.380 Å
α = 110.18°, β = 90.00°, γ = 90.00°
Element x y z (fractional)
Tm 0.250 0.251 0.503
Tm 0.750 0.749 0.497
Tb 0.500 0.752 0.000
Tb 0.000 0.752 0.000
Tb 0.000 0.248 0.000
Tb 0.500 0.248 0.000
Ac 0.750 0.341 0.682
Ac 0.250 0.659 0.318
Pm 0.750 0.153 0.307
Pm 0.250 0.847 0.693

Properties
The magnetic moment comes out at 0.0 μB per formula unit. The uncorrected energy comes out at -4.13 eV per atom.



2.
Entry from the Alexandria database: an optimized crystal structure of AcTb5PmY2 (PBE).

a = 5.572 Å, b = 12.328 Å, c = 9.360 Å
α = 90.00°, β = 90.00°, γ = 103.06°
Element x y z (fractional)
Tb 0.993 0.986 0.021
Tb 0.742 0.485 0.868
Tb 0.476 0.953 0.747
Tb 0.308 0.616 0.729
Tb 0.398 0.796 0.029
Tb 0.258 0.515 0.368
Tb 0.692 0.384 0.229
Tb 0.602 0.204 0.529
Tb 0.007 0.014 0.521
Tb 0.524 0.047 0.247
Ac 0.602 0.204 0.931
Ac 0.398 0.796 0.431
Pm 0.240 0.481 0.040
Pm 0.760 0.519 0.540
Y 0.112 0.225 0.280
Y 0.888 0.775 0.780
Y 0.168 0.336 0.678
Y 0.832 0.664 0.178

Properties
The magnetic moment comes out at 0.0 μB per formula unit. The uncorrected energy comes out at -4.85 eV per atom.



3.
Entry from the Alexandria database: an optimized crystal structure of AcTb2Pm3Y6 (PBE).

a = 6.281 Å, b = 6.281 Å, c = 11.950 Å
α = 95.00°, β = 95.00°, γ = 119.97°
Element x y z (fractional)
Y 0.420 0.085 0.252
Y 0.748 0.748 0.252
Y 0.085 0.420 0.252
Y 0.252 0.252 0.748
Y 0.915 0.580 0.748
Y 0.580 0.915 0.748
Pm 0.833 0.167 0.500
Pm 0.167 0.833 0.500
Pm 0.500 0.500 0.500
Ac 0.000 0.000 0.000
Tb 0.333 0.667 0.000
Tb 0.667 0.333 0.000

Properties
The magnetic moment comes out at 0.0 μB per formula unit. The uncorrected energy comes out at -5.51 eV per atom.



4.
Entry from the Alexandria database: an optimized crystal structure of AcTbPm2Y2 (PBE).

a = 5.768 Å, b = 7.251 Å, c = 9.955 Å
α = 90.00°, β = 90.00°, γ = 90.00°
Element x y z (fractional)
Tb 0.500 0.757 0.327
Tb 0.500 0.257 0.673
Y 0.000 0.258 0.161
Y 0.000 0.758 0.839
Y 0.500 0.508 0.000
Y 0.500 0.008 0.000
Pm 0.000 0.758 0.162
Pm 0.500 0.757 0.673
Pm 0.500 0.257 0.327
Pm 0.000 0.258 0.838
Ac 0.000 0.007 0.500
Ac 0.000 0.507 0.500

Properties
The magnetic moment comes out at 0.0 μB per formula unit. The uncorrected energy comes out at -5.13 eV per atom.



5.
Entry from the Alexandria database: an optimized crystal structure of AcTb2PmY6 (PBE).

a = 9.637 Å, b = 8.971 Å, c = 8.971 Å
α = 117.61°, β = 92.94°, γ = 92.94°
Element x y z (fractional)
Pm 0.250 0.411 0.589
Pm 0.750 0.589 0.411
Y 0.320 0.983 0.442
Y 0.558 0.751 0.125
Y 0.442 0.249 0.875
Y 0.114 0.710 0.489
Y 0.886 0.290 0.511
Y 0.058 0.125 0.751
Y 0.820 0.442 0.983
Y 0.386 0.511 0.290
Y 0.680 0.017 0.558
Y 0.614 0.489 0.710
Y 0.180 0.558 0.017
Y 0.942 0.875 0.249
Tb 0.550 0.197 0.309
Tb 0.450 0.803 0.691
Tb 0.050 0.309 0.197
Tb 0.950 0.691 0.803
Ac 0.750 0.031 0.969
Ac 0.250 0.969 0.031

Properties
The magnetic moment comes out at 0.0 μB per formula unit. The uncorrected energy comes out at -5.56 eV per atom.



6.
Entry from the Alexandria database: an optimized crystal structure of AcTbPm5Y2 (PBE).

a = 5.843 Å, b = 9.269 Å, c = 12.196 Å
α = 90.00°, β = 90.00°, γ = 108.37°
Element x y z (fractional)
Ac 0.615 0.229 0.924
Ac 0.385 0.771 0.424
Pm 0.420 0.840 0.088
Pm 0.232 0.465 0.630
Pm 0.767 0.534 0.720
Pm 0.062 0.123 0.072
Pm 0.422 0.843 0.764
Pm 0.233 0.466 0.220
Pm 0.580 0.160 0.588
Pm 0.578 0.157 0.264
Pm 0.938 0.877 0.572
Pm 0.768 0.535 0.130
Y 0.113 0.226 0.425
Y 0.062 0.124 0.776
Y 0.887 0.774 0.925
Y 0.938 0.876 0.276
Tb 0.252 0.503 0.925
Tb 0.748 0.497 0.425

Properties
The magnetic moment comes out at 0.0 μB per formula unit. The uncorrected energy comes out at -4.96 eV per atom.